[1]
Computed, not measured: a relaxed Pa2TcGe crystal at the PBE level of DFT.

Results
distance to the lowest polymorph of the same formula = 0.11 eV per formula unit

abc: 6.0033 8.1697 3.3429
angles: 90.00 90.00 90.00
Closest atoms and distances in Å follow each position.
Space group Cmmm (No. 65)
Symmetry-distinct sites (fractional):
Pa 0.2500 0.2500 0.0000 (multiplicity 4)  4 Pa 3.00-3.34, 4 Ge 3.04, 4 Tc 3.04
Tc 0.0000 0.0000 0.5000 (multiplicity 2)  2 Ge 3.00, 8 Pa 3.04, 2 Tc 3.34
Ge 0.0000 0.5000 0.5000 (multiplicity 2)  2 Tc 3.00, 8 Pa 3.04, 2 Ge 3.34


[2]
Computed, not measured: a relaxed Pa3TcGe5 crystal at the PBE level of DFT.

abc: 8.4462 8.4462 5.8239
angles: 90.00 90.00 120.00
Closest atoms and distances in Å follow each position.
Space group P6_3/mcm (No. 193)
Symmetry-distinct sites (fractional):
Pa 0.0000 0.3836 0.2500 (multiplicity 6)  9 Ge 2.86-3.10
Tc 0.0000 0.0000 0.0000 (multiplicity 2)  6 Ge 2.63, 2 Tc 2.91
Ge 0.0000 0.2592 0.7500 (multiplicity 6)  2 Tc 2.63, 2 Pa 2.86
Ge 0.3333 0.6667 0.0000 (multiplicity 4)  2 Ge 2.91, 6 Pa 3.01


[3]
Computed, not measured: a relaxed Pa2Tc2Ge3 crystal at the PBE level of DFT.

abc: 6.2636 6.4665 8.9738
angles: 90.00 128.30 90.00
Closest atoms and distances in Å follow each position.
Space group P2_1/c (No. 14)
Symmetry-distinct sites (fractional):
Pa 0.1892 0.1769 0.3684 (multiplicity 4)  1 Tc 2.48
Tc 0.3417 0.6994 0.4790 (multiplicity 4)  1 Pa 2.48, 4 Ge 2.53-2.65
Ge 0.0000 0.0000 0.0000 (multiplicity 2)  2 Tc 2.60
Ge 0.3786 0.5610 0.2316 (multiplicity 4)  3 Tc 2.53-2.65


[4]
Computed, not measured: a relaxed Pa2TcGe crystal at the PBE level of DFT.

Results
distance to the lowest polymorph of the same formula = 0.00 eV per formula unit

abc: 4.3533 4.3533 4.2198
angles: 90.00 90.00 90.00
Closest atoms and distances in Å follow each position.
Space group P4/mmm (No. 123)
Symmetry-distinct sites (fractional):
Pa 0.0000 0.5000 0.0000 (multiplicity 2)  4 Ge 3.03, 4 Tc 3.03, 4 Pa 3.08
Tc 0.0000 0.0000 0.5000 (multiplicity 1)  8 Pa 3.03, 4 Ge 3.08
Ge 0.5000 0.5000 0.5000 (multiplicity 1)  8 Pa 3.03, 4 Tc 3.08


[5]
Computed, not measured: a relaxed Pa5Tc5Ge2 crystal at the PBE level of DFT.

abc: 14.5226 3.6154 9.8634
angles: 90.00 109.71 90.00
Closest atoms and distances in Å follow each position.
Space group C2/m (No. 12)
Symmetry-distinct sites (fractional):
Pa 0.0000 0.0000 0.0000 (multiplicity 2)  4 Ge 3.12, 4 Pa 3.19, 2 Tc 3.34
Pa 0.1444 0.0000 0.5538 (multiplicity 4)  5 Tc 2.68-2.92
Pa 0.1926 0.5000 0.0902 (multiplicity 4)  3 Tc 2.45-2.69
Tc 0.0000 0.5000 0.5000 (multiplicity 2)  2 Ge 2.63, 4 Pa 2.68
Tc 0.1351 0.5000 0.8266 (multiplicity 4)  1 Pa 2.45, 1 Ge 2.63
Tc 0.1990 0.0000 0.2945 (multiplicity 4)  5 Pa 2.69-2.92, 2 Ge 2.70
Ge 0.0570 0.5000 0.2740 (multiplicity 4)  4 Tc 2.63-2.70


[6]
Computed, not measured: a relaxed Pa3Tc4Ge2 crystal at the PBE level of DFT.

abc: 10.7258 11.4991 6.0615
angles: 90.00 103.14 90.00
Closest atoms and distances in Å follow each position.
Space group C2/c (No. 15)
Symmetry-distinct sites (fractional):
Pa 0.0000 0.1038 0.2500 (multiplicity 4)  6 Tc 2.82-3.13, 2 Ge 3.10
Pa 0.1236 0.3875 0.6035 (multiplicity 8)  1 Tc 2.39
Tc 0.0894 0.3457 0.1048 (multiplicity 8)  1 Pa 2.39, 1 Ge 2.59
Tc 0.1976 0.0215 0.6051 (multiplicity 8)  2 Ge 2.52-2.54, 2 Pa 2.73-2.76
Ge 0.1547 0.1679 0.8938 (multiplicity 8)  4 Tc 2.52-2.75


[7]
Computed, not measured: a relaxed Pa6Tc2Ge crystal at the PBE level of DFT.

abc: 5.9030 7.1123 11.2772
angles: 90.00 116.25 90.00
Closest atoms and distances in Å follow each position.
Space group P2_1/c (No. 14)
Symmetry-distinct sites (fractional):
Pa 0.0341 0.1914 0.4227 (multiplicity 4)  1 Pa 2.80, 2 Tc 2.81-2.87, 1 Ge 2.84
Pa 0.2409 0.6375 0.4580 (multiplicity 4)  1 Pa 2.80, 1 Ge 2.93, 2 Tc 2.94-3.05
Pa 0.4141 0.0775 0.2346 (multiplicity 4)  2 Tc 2.58-2.69, 1 Ge 2.86
Tc 0.1805 0.1198 0.7425 (multiplicity 4)  4 Pa 2.58-2.87
Ge 0.5000 0.0000 0.5000 (multiplicity 2)  6 Pa 2.84-2.93


[8]
Computed, not measured: a relaxed Pa2TcGe crystal at the PBE level of DFT.

Results
distance to the lowest polymorph of the same formula = 0.55 eV per formula unit

abc: 4.2166 4.2166 6.1683
angles: 90.00 90.00 120.00
Closest atoms and distances in Å follow each position.
Space group P-3m1 (No. 164)
Symmetry-distinct sites (fractional):
Pa 0.3333 0.6667 0.2260 (multiplicity 2)  3 Tc 2.81, 3 Ge 2.96
Tc 0.0000 0.0000 0.0000 (multiplicity 1)  6 Pa 2.81, 2 Ge 3.08
Ge 0.0000 0.0000 0.5000 (multiplicity 1)  6 Pa 2.96, 2 Tc 3.08


[9]
Computed, not measured: a relaxed Pa8TcGe2 crystal at the PBE level of DFT.

abc: 14.5784 5.3238 7.4370
angles: 90.00 119.31 90.00
Closest atoms and distances in Å follow each position.
Space group C2/m (No. 12)
Symmetry-distinct sites (fractional):
Pa 0.0340 0.0000 0.2707 (multiplicity 4)  2 Pa 2.81-2.82, 1 Ge 2.98
Pa 0.0972 0.5000 0.9215 (multiplicity 4)  1 Tc 2.74
Pa 0.1525 0.0000 0.7027 (multiplicity 4)  3 Pa 2.81-3.14, 1 Ge 2.98
Pa 0.1653 0.5000 0.4078 (multiplicity 4)  1 Tc 2.81, 1 Ge 2.96, 3 Pa 3.14
Tc 0.0000 0.5000 0.5000 (multiplicity 2)  4 Pa 2.74-2.81
Ge 0.1973 0.0000 0.1390 (multiplicity 4)  9 Pa 2.96-3.28


[10]
Computed, not measured: a relaxed Pa5TcGe2 crystal at the PBE level of DFT.

abc: 3.0790 10.1660 11.1398
angles: 90.00 90.00 90.00
Closest atoms and distances in Å follow each position.
Space group Immm (No. 71)
Symmetry-distinct sites (fractional):
Pa 0.0000 0.0000 0.0000 (multiplicity 2)  10 Pa 3.07-3.08, 2 Ge 3.41
Pa 0.0000 0.2896 0.3591 (multiplicity 8)  7 Pa 2.99-3.14, 3 Ge 3.00-3.21
Tc 0.0000 0.5000 0.0000 (multiplicity 2)  4 Ge 2.65
Ge 0.0000 0.0000 0.3060 (multiplicity 4)  2 Tc 2.65


[11]
Computed, not measured: a relaxed PaTc4Ge crystal at the PBE level of DFT.

Results
distance to the lowest polymorph of the same formula = 1.28 eV per formula unit

abc: 7.4823 7.4823 7.4823
angles: 90.00 90.00 90.00
Closest atoms and distances in Å follow each position.
Space group F-43m (No. 216)
Symmetry-distinct sites (fractional):
Pa 0.0000 0.0000 0.0000 (multiplicity 4)  12 Tc 3.11, 4 Ge 3.24
Tc 0.1232 0.1232 0.3768 (multiplicity 16)  6 Tc 2.61-2.68
Ge 0.2500 0.2500 0.7500 (multiplicity 4)  12 Tc 3.10, 4 Pa 3.24


[12]
Computed, not measured: a relaxed Pa5Tc2Ge4 crystal at the PBE level of DFT.

abc: 18.5558 4.2713 6.5574
angles: 90.00 100.03 90.00
Closest atoms and distances in Å follow each position.
Space group C2/m (No. 12)
Symmetry-distinct sites (fractional):
Pa 0.0000 0.0000 0.0000 (multiplicity 2)  4 Ge 3.05
Pa 0.1278 0.5000 0.3645 (multiplicity 4)  1 Pa 2.78, 4 Ge 2.90-3.07, 3 Tc 2.94-3.01
Pa 0.1706 0.5000 0.9788 (multiplicity 4)  1 Pa 2.78, 1 Tc 2.88, 4 Ge 2.92-3.09
Tc 0.2329 0.0000 0.3207 (multiplicity 4)  3 Ge 2.56-2.62
Ge 0.0305 0.5000 0.6949 (multiplicity 4)  1 Ge 2.61, 2 Pa 2.90-2.92
Ge 0.1913 0.0000 0.6823 (multiplicity 4)  3 Tc 2.56-2.62


[13]
Computed, not measured: a relaxed PaTc2Ge crystal at the PBE level of DFT.

Results
distance to the lowest polymorph of the same formula = 0.00 eV per formula unit

abc: 4.3577 4.3577 3.6135
angles: 90.00 90.00 90.00
Closest atoms and distances in Å follow each position.
Space group P4/mmm (No. 123)
Symmetry-distinct sites (fractional):
Pa 0.0000 0.0000 0.0000 (multiplicity 1)  8 Tc 2.83, 4 Ge 3.08
Tc 0.0000 0.5000 0.5000 (multiplicity 2)  4 Ge 2.83, 4 Pa 2.83, 4 Tc 3.08
Ge 0.5000 0.5000 0.0000 (multiplicity 1)  8 Tc 2.83, 4 Pa 3.08


[14]
Computed, not measured: a relaxed Pa2Tc2Ge crystal at the PBE level of DFT.

abc: 4.1861 13.5286 7.3995
angles: 90.00 90.00 90.00
Closest atoms and distances in Å follow each position.
Space group Cmc2_1 (No. 36)
Symmetry-distinct sites (fractional):
Pa 0.0000 0.0526 0.0000 (multiplicity 4)  1 Tc 2.57
Pa 0.0000 0.2184 0.3908 (multiplicity 4)  5 Tc 2.62-2.77
Tc 0.0000 0.1767 0.7365 (multiplicity 4)  2 Ge 2.56, 4 Pa 2.57-2.77
Tc 0.0000 0.3908 0.7584 (multiplicity 4)  2 Ge 2.73-2.85, 4 Pa 2.74-2.94, 1 Tc 2.90
Ge 0.0000 0.4181 0.1404 (multiplicity 4)  4 Tc 2.56-2.85


[15]
Computed, not measured: a relaxed Pa3TcGe crystal at the PBE level of DFT.

abc: 11.9380 12.8029 6.1094
angles: 90.00 99.95 90.00
Closest atoms and distances in Å follow each position.
Space group C2/c (No. 15)
Symmetry-distinct sites (fractional):
Pa 0.0987 0.1159 0.4958 (multiplicity 8)  1 Tc 2.85, 1 Pa 2.86, 4 Ge 2.93-3.19
Pa 0.1280 0.3302 0.1346 (multiplicity 8)  2 Tc 2.70-2.85, 1 Pa 2.88, 1 Ge 2.98
Pa 0.1743 0.3985 0.5910 (multiplicity 8)  3 Tc 2.75-3.00, 2 Pa 2.86-2.88, 1 Ge 2.99
Tc 0.0000 0.2664 0.7500 (multiplicity 4)  6 Pa 2.70-2.97, 2 Ge 2.93, 1 Tc 2.94
Tc 0.0000 0.4963 0.7500 (multiplicity 4)  6 Pa 2.75-3.00, 3 Tc 2.94-3.06
Ge 0.1478 0.1081 0.9985 (multiplicity 8)  7 Pa 2.93-3.19, 1 Tc 2.93


[16]
Computed, not measured: a relaxed Pa7Tc2Ge2 crystal at the PBE level of DFT.

abc: 8.2100 10.0482 6.4943
angles: 90.00 90.00 90.00
Closest atoms and distances in Å follow each position.
Space group Cmmm (No. 65)
Symmetry-distinct sites (fractional):
Pa 0.0000 0.0000 0.0000 (multiplicity 2)  2 Tc 2.67
Pa 0.0000 0.5000 0.2824 (multiplicity 4)  1 Pa 2.83, 2 Tc 2.98, 2 Ge 3.14
Pa 0.2500 0.2500 0.2861 (multiplicity 8)  2 Tc 2.77, 1 Pa 2.78, 2 Ge 2.97
Tc 0.0000 0.2658 0.0000 (multiplicity 4)  7 Pa 2.67-2.98
Ge 0.1589 0.0000 0.5000 (multiplicity 4)  1 Ge 2.61


[17]
Computed, not measured: a relaxed Pa3Tc5Ge crystal at the PBE level of DFT.

abc: 8.3039 8.3039 10.2477
angles: 90.00 90.00 90.00
Closest atoms and distances in Å follow each position.
Space group I4/mcm (No. 140)
Symmetry-distinct sites (fractional):
Pa 0.0000 0.0000 0.2500 (multiplicity 4)  2 Tc 2.56
Pa 0.1359 0.3641 0.0000 (multiplicity 8)  2 Tc 2.51
Tc 0.0000 0.0000 0.0000 (multiplicity 4)  2 Pa 2.56
Tc 0.1889 0.3111 0.3597 (multiplicity 16)  1 Ge 2.49, 1 Pa 2.51, 1 Tc 2.67
Ge 0.0000 0.5000 0.2500 (multiplicity 4)  4 Tc 2.49


[18]
Computed, not measured: a relaxed Pa2TcGe crystal at the PBE level of DFT.

Results
distance to the lowest polymorph of the same formula = 0.07 eV per formula unit

abc: 3.6949 3.6949 6.0836
angles: 90.00 90.00 90.00
Closest atoms and distances in Å follow each position.
Space group P4/mmm (No. 123)
Symmetry-distinct sites (fractional):
Pa 0.0000 0.0000 0.2450 (multiplicity 2)  2 Pa 2.98-3.10, 4 Ge 3.01, 4 Tc 3.04
Tc 0.5000 0.5000 0.5000 (multiplicity 1)  8 Pa 3.04, 2 Ge 3.04
Ge 0.5000 0.5000 0.0000 (multiplicity 1)  8 Pa 3.01, 2 Tc 3.04


[19]
Computed, not measured: a relaxed PaTc4Ge2 crystal at the PBE level of DFT.

abc: 4.1513 14.1206 4.0537
angles: 90.00 90.00 90.00
Closest atoms and distances in Å follow each position.
Space group Cmmm (No. 65)
Symmetry-distinct sites (fractional):
Pa 0.0000 0.0000 0.0000 (multiplicity 2)  8 Ge 3.15, 8 Tc 3.33-3.45
Tc 0.0000 0.1867 0.5000 (multiplicity 4)  2 Ge 2.51, 4 Tc 2.63-2.74
Tc 0.0000 0.3053 0.0000 (multiplicity 4)  2 Ge 2.54, 4 Tc 2.60-2.63
Ge 0.0000 0.4134 0.5000 (multiplicity 4)  1 Ge 2.45, 4 Tc 2.51-2.54


[20]
Computed, not measured: a relaxed Pa2TcGe2 crystal at the PBE level of DFT.

Results
distance to the lowest polymorph of the same formula = 0.29 eV per formula unit

abc: 6.7171 6.7171 4.4714
angles: 90.00 90.00 90.00
Closest atoms and distances in Å follow each position.
Space group P4/mbm (No. 127)
Symmetry-distinct sites (fractional):
Pa 0.1733 0.3267 0.0000 (multiplicity 4)  6 Ge 2.89-3.06
Tc 0.0000 0.0000 0.5000 (multiplicity 2)  4 Ge 2.62
Ge 0.1342 0.6342 0.5000 (multiplicity 4)  1 Ge 2.55, 2 Tc 2.62


[21]
Computed, not measured: a relaxed Pa2TcGe2 crystal at the PBE level of DFT.

Results
distance to the lowest polymorph of the same formula = 0.00 eV per formula unit

abc: 3.7326 6.2254 8.7335
angles: 90.00 90.00 90.00
Closest atoms and distances in Å follow each position.
Space group Immm (No. 71)
Symmetry-distinct sites (fractional):
Pa 0.0000 0.0000 0.2363 (multiplicity 4)  6 Ge 2.95-3.06, 2 Tc 2.96
Tc 0.0000 0.5000 0.0000 (multiplicity 2)  4 Ge 2.62
Ge 0.0000 0.2953 0.5000 (multiplicity 4)  1 Ge 2.55, 2 Tc 2.62


[22]
Computed, not measured: a relaxed Pa3Tc3Ge crystal at the PBE level of DFT.

abc: 10.7779 10.8352 5.2001
angles: 90.00 90.00 90.00
Closest atoms and distances in Å follow each position.
Space group Cmcm (No. 63)
Symmetry-distinct sites (fractional):
Pa 0.0000 0.1122 0.2500 (multiplicity 4)  2 Tc 2.66
Pa 0.2315 0.3955 0.2500 (multiplicity 8)  4 Tc 2.63-2.79
Tc 0.0000 0.1628 0.7500 (multiplicity 4)  4 Pa 2.66-2.96, 1 Ge 2.71
Tc 0.2225 0.3576 0.7500 (multiplicity 8)  1 Ge 2.47, 3 Pa 2.63-2.68
Ge 0.0000 0.4126 0.7500 (multiplicity 4)  3 Tc 2.47-2.71


In order of appearance, calculated formation energy = -0.30, -0.51, -0.22, -0.33, -0.17, -0.27, -0.04, -0.19, -0.15, 0.02, 0.11, -0.08, -0.36, -0.22, -0.18, -0.01, 0.15, -0.31, -0.35, -0.47, -0.53, -0.15 eV per atom.